1.
The following is a GGA-PBE calculation of a geometry-optimized CeHoNiRh structure, from the Alexandria database.

Geometry as POSCAR:
```
CeHoNiRh
1.0
4.858 0.000 0.000
2.429 4.207 0.000
2.429 1.402 3.966
Ni Rh Ho Ce
1 1 1 1
Direct
0.250 0.250 0.250 Ni
0.750 0.750 0.750 Rh
0.000 0.000 0.000 Ho
0.500 0.500 0.500 Ce
```

Summary:
E = -25.756 eV per formula unit
total magnetic moment = 0.479 μB per cell
energy of formation = -0.5279 eV per atom
SG = F-43m, No. 216



2.
The following is a GGA-PBE calculation of a geometry-optimized ZnNiAg2Sb structure, from the Alexandria database.

Geometry as POSCAR:
```
ZnNiAg2Sb
1.0
4.953 0.000 0.000
0.000 4.617 0.000
0.000 0.000 4.953
Sb Zn Ag Ni
1 1 2 1
Direct
0.000 0.500 0.000 Sb
0.500 0.500 0.500 Zn
0.000 0.000 0.500 Ag
0.500 0.000 0.000 Ag
0.000 0.000 0.000 Ni
```

Summary:
E = -14.735 eV per formula unit
total magnetic moment = 0.000 μB per cell
formation energy without anion corrections = 0.43 eV/atom
SG = P4/mmm, No. 123



3.
The following is a GGA-PBE calculation of a geometry-optimized CrCdOs2 structure, from the Alexandria database.

Geometry as POSCAR:
```
CrCdOs2
1.0
-2.544 0.886 2.958
-0.260 -3.796 0.913
3.009 0.388 2.471
Cd Cr Os
1 1 2
Direct
0.500 0.500 0.000 Cd
0.500 0.000 0.500 Cr
0.000 0.000 0.000 Os
0.000 0.500 0.500 Os
```

Summary:
E = -30.327 eV per formula unit
total magnetic moment = 1.443 μB per cell
energy of formation = 0.6677 eV per atom
SG = P4/mmm, No. 123



4.
The following is a GGA-PBE calculation of a geometry-optimized YCo3Ni structure, from the Alexandria database.

Geometry as POSCAR:
```
YCo3Ni
1.0
-2.247 -2.070 -3.407
2.456 -3.799 0.689
-3.140 -1.490 2.976
Y Ni Co
1 1 3
Direct
0.000 0.000 0.000 Y
0.500 0.500 0.500 Ni
0.000 0.500 0.000 Co
0.000 0.000 0.500 Co
0.500 0.000 0.000 Co
```

Summary:
E = -23.808 eV per formula unit
total magnetic moment = 4.075 μB per cell
energy of formation = 1.9511 eV per atom
SG = Pm-3m, No. 221



5.
The following is a GGA-PBE calculation of a geometry-optimized CaAcSm2Sb4 structure, from the Alexandria database.

Geometry as POSCAR:
```
CaAcSm2Sb4
1.0
4.568 0.000 0.000
0.000 8.029 -0.210
0.000 2.776 7.352
Ca Ac Sm Sb
1 1 2 4
Direct
0.500 0.500 0.000 Ca
0.000 0.500 0.500 Ac
0.000 0.000 0.000 Sm
0.500 0.000 0.500 Sm
0.000 0.762 0.751 Sb
0.000 0.238 0.249 Sb
0.500 0.765 0.240 Sb
0.500 0.235 0.760 Sb
```

Summary:
E = -40.514 eV per formula unit
total magnetic moment = 0.000 μB per cell
formation energy without anion corrections = -1.06 eV/atom
SG = P2/m, No. 10



6.
The following is a GGA-PBE calculation of a geometry-optimized TiFeSe3 structure, from the Alexandria database.

Geometry as POSCAR:
```
TiFeSe3
1.0
-2.978 -1.036 1.708
3.343 -3.326 3.812
-2.970 11.931 2.056
Ti Fe Se
2 2 6
Direct
0.250 0.165 0.162 Ti
0.750 0.835 0.838 Ti
0.250 0.091 0.747 Fe
0.750 0.909 0.253 Fe
0.250 0.207 0.961 Se
0.750 0.793 0.039 Se
0.250 0.191 0.374 Se
0.750 0.809 0.626 Se
0.250 0.470 0.738 Se
0.750 0.530 0.262 Se
```

Summary:
E = -30.073 eV per formula unit
total magnetic moment = 6.286 μB per cell
formation energy without anion corrections = -0.65 eV/atom
SG = P2_1/m, No. 11



7.
The following is a GGA-PBE calculation of a geometry-optimized Cs3LiB2S6 structure, from the Alexandria database.

Geometry as POSCAR:
```
Cs3LiB2S6
1.0
-0.069 3.580 -6.195
3.594 -6.164 0.530
-7.490 -4.587 -2.568
Cs Li B S
3 1 2 6
Direct
0.333 0.667 0.666 Cs
0.667 0.333 0.334 Cs
0.000 0.000 0.000 Cs
0.000 0.000 0.500 Li
0.667 0.333 0.701 B
0.333 0.667 0.299 B
0.625 0.812 0.300 S
0.188 0.375 0.300 S
0.188 0.812 0.300 S
0.812 0.625 0.700 S
0.375 0.188 0.700 S
0.812 0.188 0.700 S
```

Summary:
E = -51.747 eV per formula unit
total magnetic moment = 1.927 μB per cell
formation energy without anion corrections = -0.76 eV/atom
SG = P-3m1, No. 164



8.
The following is a GGA-PBE calculation of a geometry-optimized YErTiIn structure, from the Alexandria database.

Geometry as POSCAR:
```
YErTiIn
1.0
5.241 0.000 0.000
2.620 4.538 0.000
2.620 1.513 4.279
Y In Ti Er
1 1 1 1
Direct
0.250 0.250 0.250 Y
0.000 0.000 0.000 In
0.500 0.500 0.500 Ti
0.750 0.750 0.750 Er
```

Summary:
E = -22.082 eV per formula unit
total magnetic moment = 2.804 μB per cell
energy of formation = -0.1055 eV per atom
SG = F-43m, No. 216